PmYAlZn | Alexandria | PBE | optimized geometry; magnetization = 0.00 μB/f.u.; space group = F-43m; ΔH_f (0 K) = -370 meV/atom; electronic total energy = -4.428 eV per atom
1.0
-4.0861 0.6067 -3.0895
-3.5726 -3.7081 -0.3095
-4.6811 0.7524 2.0324
Pm Al Zn Y
1 1 1 1
Cartesian
0.0000 0.0000 0.0000 Pm
-3.0849 -0.5873 -0.3417 Al
-9.2548 -1.7618 -1.0250 Zn
-6.1699 -1.1745 -0.6833 Y